Mg2AlBr (PBEsol, optimized geometry); polymorph energy (0 for the lowest one) = 0.00 eV per formula unit; formation energy without anion corrections = -117 kJ/mol of formula units
1.0
1.800 1.039 7.952
-1.800 1.039 7.952
0.000 -2.079 7.952
Mg Al Br
2 1 1
direct
0.247 0.247 0.247
0.753 0.753 0.753
0.500 0.500 0.500
0.000 0.000 0.000

=====

Mg2AlBr (PBEsol, optimized geometry); polymorph energy (0 for the lowest one) = 0.14 eV per formula unit; formation energy without anion corrections = -104 kJ/mol of formula units
1.0
3.316 0.000 0.000
0.000 3.316 0.000
0.000 0.000 7.792
Mg Al Br
2 1 1
direct
0.000 0.000 0.232
0.000 0.000 0.768
0.500 0.500 0.000
0.500 0.500 0.500

=====

MgAl2Br (PBEsol, optimized geometry); formation energy without anion corrections = 14 kJ/mol of formula units
1.0
3.868 0.000 0.000
0.000 3.868 0.000
0.000 0.000 5.951
Mg Al Br
1 2 1
direct
0.000 0.000 0.000
0.000 0.500 0.500
0.500 0.000 0.500
0.500 0.500 0.000

=====

Mg2AlBr (PBEsol, optimized geometry); polymorph energy (0 for the lowest one) = 0.45 eV per formula unit; formation energy without anion corrections = -73 kJ/mol of formula units
1.0
5.618 -1.616 0.000
5.618 1.616 0.000
-0.072 0.000 4.971
Mg Al Br
2 1 1
direct
0.000 0.000 0.000
0.743 0.743 0.479
0.266 0.266 0.980
0.505 0.505 0.489